A.
The following is a DFT calculation (GGA-PBE) of a geometry-optimized Na3Tl3Cd structure.

Lattice parameters (Å, degrees): 6.5756 6.5756 10.1050 90.89 90.89 108.20
With the nearest neighbours (Å) after each atom.
Atoms (fractional coordinates):
Na  0.1670  0.8330  0.0000  6 Tl 3.20-3.42, 1 Na 3.56
Na  0.2323  0.7677  0.5000  4 Cd 3.22-3.45, 6 Tl 3.27-3.34
Na  0.4251  0.4251  0.1811  5 Tl 3.25-3.46, 1 Cd 3.53
Na  0.5749  0.5749  0.8189  5 Tl 3.25-3.46, 1 Cd 3.53
Na  0.7677  0.2323  0.5000  4 Cd 3.22-3.45, 6 Tl 3.27-3.34
Na  0.8330  0.1670  0.0000  6 Tl 3.20-3.42, 1 Na 3.56
Tl  0.0319  0.0319  0.2884  2 Cd 3.20-3.26, 5 Na 3.25-3.42, 4 Tl 3.30-3.44
Tl  0.0577  0.4862  0.7618  6 Na 3.20-3.46, 1 Cd 3.30, 2 Tl 3.30-3.44
Tl  0.4862  0.0577  0.7618  6 Na 3.20-3.46, 1 Cd 3.30, 2 Tl 3.30-3.44
Tl  0.5138  0.9423  0.2382  6 Na 3.20-3.46, 1 Cd 3.30, 2 Tl 3.30-3.44
Tl  0.9423  0.5138  0.2382  6 Na 3.20-3.46, 1 Cd 3.30, 2 Tl 3.30-3.44
Tl  0.9681  0.9681  0.7116  2 Cd 3.20-3.26, 5 Na 3.25-3.42, 4 Tl 3.30-3.44
Cd  0.3100  0.3100  0.5285  1 Cd 3.00, 4 Tl 3.20-3.30, 2 Na 3.22
Cd  0.6900  0.6900  0.4715  1 Cd 3.00, 4 Tl 3.20-3.30, 2 Na 3.22

Results
space group	C2/m (12)
mass density	6.36	g cm⁻³



B.
The following is a DFT calculation (GGA-PBE) of a geometry-optimized Na3Tl3Cd structure.

Lattice parameters (Å, degrees): 12.5659 12.5659 3.5379 90.00 90.00 120.00
With the nearest neighbours (Å) after each atom.
Atoms (fractional coordinates):
Na  0.1263  0.3494  0.2500  3 Tl 3.17-3.32, 1 Cd 3.51, 2 Na 3.54
Na  0.2231  0.8737  0.2500  3 Tl 3.17-3.32, 1 Cd 3.51, 2 Na 3.54
Na  0.3494  0.2231  0.7500  3 Tl 3.17-3.32, 1 Cd 3.51, 2 Na 3.54
Na  0.6506  0.7769  0.2500  3 Tl 3.17-3.32, 1 Cd 3.51, 2 Na 3.54
Na  0.7769  0.1263  0.7500  3 Tl 3.17-3.32, 1 Cd 3.51, 2 Na 3.54
Na  0.8737  0.6506  0.7500  3 Tl 3.17-3.32, 1 Cd 3.51, 2 Na 3.54
Tl  0.1068  0.6163  0.7500  2 Cd 3.14, 3 Na 3.17-3.32, 2 Tl 3.32
Tl  0.3837  0.4905  0.7500  2 Cd 3.14, 3 Na 3.17-3.32, 2 Tl 3.32
Tl  0.4905  0.1068  0.2500  2 Cd 3.14, 3 Na 3.17-3.32, 2 Tl 3.32
Tl  0.5095  0.8932  0.7500  2 Cd 3.14, 3 Na 3.17-3.32, 2 Tl 3.32
Tl  0.6163  0.5095  0.2500  2 Cd 3.14, 3 Na 3.17-3.32, 2 Tl 3.32
Tl  0.8932  0.3837  0.2500  2 Cd 3.14, 3 Na 3.17-3.32, 2 Tl 3.32
Cd  0.3333  0.6667  0.2500  6 Tl 3.14, 3 Na 3.51
Cd  0.6667  0.3333  0.7500  6 Tl 3.14, 3 Na 3.51

Results
space group	P6_3/m (176)
mass density	5.45	g cm⁻³



Of them, B has the lowest stability.



A.
The following is a DFT calculation (GGA-PBE) of a geometry-optimized NaTlCd6 structure.

Lattice parameters (Å, degrees): 5.0088 6.3605 6.3605 75.96 90.00 90.00
With the nearest neighbours (Å) after each atom.
Atoms (fractional coordinates):
Na  0.0000  0.0000  0.0000  10 Cd 3.19-3.42, 2 Tl 3.33
Tl  0.5000  0.7805  0.7805  10 Cd 3.14-3.45, 2 Na 3.33
Cd  0.0000  0.0900  0.4848  7 Cd 3.07-3.29, 2 Na 3.19-3.27
Cd  0.0000  0.4848  0.0900  7 Cd 3.07-3.29, 2 Na 3.19-3.27
Cd  0.0000  0.5771  0.5771  8 Cd 3.09-3.29, 2 Tl 3.23
Cd  0.5000  0.1994  0.1994  8 Cd 3.07-3.33, 2 Na 3.20
Cd  0.5000  0.2885  0.6937  7 Cd 3.09-3.33, 2 Tl 3.14-3.31, 2 Na 3.42
Cd  0.5000  0.6937  0.2885  7 Cd 3.09-3.33, 2 Tl 3.14-3.31, 2 Na 3.42

Results
space group	Amm2 (38)
mass density	7.62	g cm⁻³



B.
The following is a DFT calculation (GGA-PBE) of a geometry-optimized NaTlCd6 structure.

Lattice parameters (Å, degrees): 5.8708 5.8708 5.8708 90.00 90.00 90.00
With the nearest neighbours (Å) after each atom.
Atoms (fractional coordinates):
Na  0.0000  0.0000  0.0000  12 Cd 3.27
Tl  0.5000  0.5000  0.5000  12 Cd 3.30
Cd  0.0000  0.2444  0.5000  2 Cd 2.87-3.00
Cd  0.0000  0.7556  0.5000  2 Cd 2.87-3.00
Cd  0.2444  0.5000  0.0000  2 Cd 2.87-3.00
Cd  0.5000  0.0000  0.2444  2 Cd 2.87-3.00
Cd  0.5000  0.0000  0.7556  2 Cd 2.87-3.00
Cd  0.7556  0.5000  0.0000  2 Cd 2.87-3.00

Results
space group	Pm-3 (200)
mass density	7.40	g cm⁻³



Of them, B has the lowest stability.



A.
The following is a DFT calculation (GGA-PBE) of a geometry-optimized Na2Tl8Cd3 structure.

Lattice parameters (Å, degrees): 8.1908 8.1908 6.5208 97.75 97.75 64.38
With the nearest neighbours (Å) after each atom.
Atoms (fractional coordinates):
Na  0.2004  0.2004  0.2748  7 Tl 3.14-3.39, 3 Cd 3.34-3.40
Na  0.7996  0.7996  0.7252  7 Tl 3.14-3.39, 3 Cd 3.34-3.40
Tl  0.1961  0.1961  0.7925  1 Cd 3.06, 2 Na 3.14-3.39, 1 Tl 3.33
Tl  0.1964  0.5715  0.5745  2 Na 3.18-3.37, 2 Cd 3.22-3.24, 4 Tl 3.27-3.56
Tl  0.4073  0.4073  0.1187  1 Na 3.19, 4 Tl 3.21-3.45, 2 Cd 3.29
Tl  0.4285  0.8036  0.4255  2 Na 3.18-3.37, 2 Cd 3.22-3.24, 4 Tl 3.27-3.56
Tl  0.5715  0.1964  0.5745  2 Na 3.18-3.37, 2 Cd 3.22-3.24, 4 Tl 3.27-3.56
Tl  0.5927  0.5927  0.8813  1 Na 3.19, 4 Tl 3.21-3.45, 2 Cd 3.29
Tl  0.8036  0.4285  0.4255  2 Na 3.18-3.37, 2 Cd 3.22-3.24, 4 Tl 3.27-3.56
Tl  0.8039  0.8039  0.2075  1 Cd 3.06, 2 Na 3.14-3.39, 1 Tl 3.33
Cd  0.0000  0.0000  0.5000  6 Tl 3.06-3.24, 2 Na 3.34
Cd  0.1711  0.8289  0.0000  1 Cd 2.99, 4 Tl 3.22-3.29
Cd  0.8289  0.1711  0.0000  1 Cd 2.99, 4 Tl 3.22-3.29

Results
space group	C2/m (12)
mass density	8.61	g cm⁻³



B.
The following is a DFT calculation (GGA-PBE) of a geometry-optimized Na2Tl8Cd3 structure.

Lattice parameters (Å, degrees): 8.3183 8.3183 6.3292 111.58 111.58 81.09
With the nearest neighbours (Å) after each atom.
Atoms (fractional coordinates):
Na  0.2098  0.2098  0.0410  7 Tl 3.15-3.44, 1 Cd 3.40
Na  0.7902  0.7902  0.9590  7 Tl 3.15-3.44, 1 Cd 3.40
Tl  0.0705  0.0705  0.3445  2 Na 3.17-3.18, 2 Cd 3.23, 4 Tl 3.23-3.30
Tl  0.0894  0.5845  0.3259  2 Na 3.19-3.44, 2 Cd 3.23-3.55, 2 Tl 3.29-3.54
Tl  0.3581  0.3581  0.7597  3 Cd 2.96-3.28, 1 Na 3.15, 1 Tl 3.30
Tl  0.4155  0.9106  0.6741  2 Na 3.19-3.44, 2 Cd 3.23-3.55, 2 Tl 3.29-3.54
Tl  0.5845  0.0894  0.3259  2 Na 3.19-3.44, 2 Cd 3.23-3.55, 2 Tl 3.29-3.54
Tl  0.6419  0.6419  0.2403  3 Cd 2.96-3.28, 1 Na 3.15, 1 Tl 3.30
Tl  0.9106  0.4155  0.6741  2 Na 3.19-3.44, 2 Cd 3.23-3.55, 2 Tl 3.29-3.54
Tl  0.9295  0.9295  0.6555  2 Na 3.17-3.18, 2 Cd 3.23, 4 Tl 3.23-3.30
Cd  0.2408  0.7592  0.0000  6 Tl 3.23-3.55
Cd  0.5000  0.5000  0.5000  6 Tl 2.96-3.23
Cd  0.7592  0.2408  0.0000  6 Tl 3.23-3.55

Results
space group	C2/m (12)
mass density	8.85	g cm⁻³



Of them, A has the lowest stability.